# Ca2ReIr PBE-GGA optimized geometry
# - formation energy from the elements (kJ/mol of formula units) = 103.8
# - E above lowest polymorph (meV per atom) = 87.9
data_Ca2ReIr
_cell_length_a 11.453
_cell_length_b 2.929
_cell_length_c 5.394
_cell_angle_alpha 90.00
_cell_angle_beta 110.45
_cell_angle_gamma 90.00
_symmetry_space_group_name_H-M 'C 1 m 1'
_symmetry_Int_Tables_number 8
_symmetry_space_group_name_Hall 'C -2y'
loop_
_atom_site_label
_atom_site_type_symbol
_atom_site_fract_x
_atom_site_fract_y
_atom_site_fract_z
Ca1 Ca 0.000 0.000 0.000
Ca2 Ca 0.197 0.000 0.618
Re1 Re 0.429 0.000 0.447
Ir1 Ir 0.253 0.500 0.146

# CaRe3Ir PBE-GGA optimized geometry
# - formation energy from the elements (kJ/mol of formula units) = 807.3
# - E above lowest polymorph (meV per atom) = 0.0
data_CaRe3Ir
_cell_length_a 4.796
_cell_length_b 4.796
_cell_length_c 4.796
_cell_angle_alpha 90.00
_cell_angle_beta 90.00
_cell_angle_gamma 90.00
_symmetry_space_group_name_H-M 'P m -3 m'
_symmetry_Int_Tables_number 221
_symmetry_space_group_name_Hall '-P 4 2 3'
loop_
_atom_site_label
_atom_site_type_symbol
_atom_site_fract_x
_atom_site_fract_y
_atom_site_fract_z
Ca1 Ca 0.000 0.000 0.000
Re1 Re 0.000 0.500 0.500
Ir1 Ir 0.500 0.500 0.500

# CaReIr PBE-GGA optimized geometry
# - formation energy from the elements (kJ/mol of formula units) = 2.6
# - E above lowest polymorph (meV per atom) = 153.7
data_CaReIr
_cell_length_a 5.374
_cell_length_b 4.185
_cell_length_c 5.868
_cell_angle_alpha 90.00
_cell_angle_beta 103.09
_cell_angle_gamma 90.00
_symmetry_space_group_name_H-M 'P 1 m 1'
_symmetry_Int_Tables_number 6
_symmetry_space_group_name_Hall 'P -2y'
loop_
_atom_site_label
_atom_site_type_symbol
_atom_site_fract_x
_atom_site_fract_y
_atom_site_fract_z
Ca1 Ca 0.000 0.000 0.000
Ca2 Ca 0.478 0.500 0.873
Re1 Re 0.349 0.500 0.367
Re2 Re 0.858 0.500 0.407
Ir1 Ir 0.135 0.000 0.524
Ir2 Ir 0.632 0.000 0.518

# CaReIr PBE-GGA optimized geometry
# - formation energy from the elements (kJ/mol of formula units) = 10.8
# - E above lowest polymorph (meV per atom) = 182.2
data_CaReIr
_cell_length_a 5.440
_cell_length_b 4.071
_cell_length_c 5.949
_cell_angle_alpha 90.00
_cell_angle_beta 101.77
_cell_angle_gamma 90.00
_symmetry_space_group_name_H-M 'P 1 21/m 1'
_symmetry_Int_Tables_number 11
_symmetry_space_group_name_Hall '-P 2yb'
loop_
_atom_site_label
_atom_site_type_symbol
_atom_site_fract_x
_atom_site_fract_y
_atom_site_fract_z
Ca1 Ca 0.247 0.250 0.441
Re1 Re 0.104 0.250 0.926
Ir1 Ir 0.390 0.750 0.075